Entry from Alexandria via LeMat-Bulk: an optimized crystal structure of PmTiTl2O6 (GGA-PBE).

Structure (extended XYZ):
```
10
Lattice="5.737 -0.001 0.000 2.868 4.968 0.000 2.868 1.656 5.085" Properties=species:S:1:pos:R:3 pbc="T T T"
O 1.729 0.429 1.241
O 2.375 3.256 1.241
O 6.581 4.672 3.990
Tl 2.868 1.656 4.633
O 4.137 3.365 3.989
Ti 2.868 1.656 0.311
O 4.501 1.282 1.241
Pm 8.604 4.968 2.932
Tl 5.736 3.312 1.936
O 6.491 1.901 3.989
```

Properties
ΔE_f (raw) in eV/f.u.: -19.63
Mass density in g/cm³: 7.99
Calculated volume in Å³/cell: 144.93